First-principles (GGA-PBE) data for a relaxed Ca2Be3AlSi4 crystal, as listed in the Alexandria database.

Cell: 4.0271 4.0271 9.8833 Å, 90.00 90.00 90.00°
With the nearest neighbours (Å) after each atom.
Element x y z (fractional)
Ca 0.0000 0.5000 0.2395  6 Be 3.06-3.27, 8 Si 3.08-3.11, 2 Al 3.27
Ca 0.5000 0.0000 0.7605  6 Be 3.06-3.27, 8 Si 3.08-3.11, 2 Al 3.27
Be 0.0000 0.5000 0.8751  5 Si 2.29-2.36
Be 0.5000 0.0000 0.1249  5 Si 2.29-2.36
Be 0.5000 0.5000 0.5000  4 Si 2.46
Al 0.0000 0.0000 0.5000  4 Si 2.46
Si 0.0000 0.0000 0.0000  4 Be 2.36
Si 0.0000 0.5000 0.6430  3 Be 2.29-2.46, 2 Al 2.46
Si 0.5000 0.0000 0.3570  3 Be 2.29-2.46, 2 Al 2.46
Si 0.5000 0.5000 0.0000  4 Be 2.36

Results
Electronic total energy, eV/cell: -42.9


First-principles (GGA-PBE) data for a relaxed SrCaBeAl2 crystal, as listed in the Alexandria database.

Cell: 5.5533 5.5533 5.1700 Å, 90.00 90.00 90.00°
With the nearest neighbours (Å) after each atom.
Element x y z (fractional)
Sr 0.0000 0.0000 0.0000  8 Al 3.79, 4 Be 3.93
Ca 0.5000 0.5000 0.5000  2 Be 2.58, 4 Al 2.78
Be 0.5000 0.5000 0.0000  2 Ca 2.58
Al 0.0000 0.5000 0.5000  2 Ca 2.78
Al 0.5000 0.0000 0.5000  2 Ca 2.78

Results
Formation enthalpy at 0 K, meV per atom: 857


First-principles (GGA-PBE) data for a relaxed CaBeAlTl2 crystal, as listed in the Alexandria database.

Cell: 5.2882 5.2882 5.8387 Å, 90.00 90.00 90.00°
With the nearest neighbours (Å) after each atom.
Element x y z (fractional)
Ca 0.0000 0.0000 0.0000  2 Al 2.92
Be 0.5000 0.5000 0.0000  4 Ca 3.74, 8 Tl 3.94
Al 0.0000 0.0000 0.5000  4 Tl 2.64, 2 Ca 2.92
Tl 0.0000 0.5000 0.5000  2 Al 2.64
Tl 0.5000 0.0000 0.5000  2 Al 2.64

Results
Formation enthalpy at 0 K, meV per atom: 745